The following is a PBE-GGA calculation of PmNdMnCu after structural relaxation, from Alexandria.

Crystal system: cubic
Energy of formation in kJ per mole of atoms: 10
Uncorrected energy in eV per atom: -5.59

Unit cell a=5.1069 b=5.1069 c=5.1069 alpha=60.00 beta=60.00 gamma=60.00
Element x y z (fractional)
Mn 0.0000 0.0000 0.0000
Nd 0.2500 0.2500 0.2500
Cu 0.5000 0.5000 0.5000
Pm 0.7500 0.7500 0.7500